# 1
The following is a DFT calculation (PBE) of a relaxed structure of CaPrNd4.

Values from the calculation:
**E**: -25.62 eV/f.u.
**E above lowest polymorph**: 0.00 eV per formula unit
**Formation energy from the elements**: 39 meV per atom
**M_tot**: 0.00 Bohr magnetons per cell

Geometry as CIF:
```
data_CaPrNd4
_symmetry_space_group_name_H-M 'C 1 2/m 1'
_symmetry_Int_Tables_number 12
_cell_length_a 18.179
_cell_length_b 3.724
_cell_length_c 6.473
_cell_angle_alpha 90.00
_cell_angle_beta 96.66
_cell_angle_gamma 90.00
loop_
_symmetry_equiv_pos_as_xyz
'x,y,z'
'-x,-y,-z'
'-x,y,-z'
'x,-y,z'
'x+1/2,y+1/2,z'
'-x+1/2,-y+1/2,-z'
'-x+1/2,y+1/2,-z'
'x+1/2,-y+1/2,z'
loop_
_atom_site_label
_atom_site_fract_x
_atom_site_fract_y
_atom_site_fract_z
Ca1 0.000 0.000 0.000
Pr1 0.000 0.500 0.500
Nd1 0.167 0.000 0.394
Nd2 0.171 0.500 0.885
```

# 2
The following is a DFT calculation (PBE) of a relaxed structure of Ba3YbF6.

Values from the calculation:
**E**: -50.78 eV/f.u.
**Formation energy (no corrections)**: -3225.6 meV per atom
**M_tot**: 0.40 Bohr magnetons per cell

Geometry as CIF:
```
data_Ba3YbF6
_symmetry_space_group_name_H-M 'P -1'
_symmetry_Int_Tables_number 2
_cell_length_a 3.822
_cell_length_b 7.734
_cell_length_c 7.966
_cell_angle_alpha 68.78
_cell_angle_beta 89.40
_cell_angle_gamma 85.07
loop_
_symmetry_equiv_pos_as_xyz
'x,y,z'
'-x,-y,-z'
loop_
_atom_site_label
_atom_site_fract_x
_atom_site_fract_y
_atom_site_fract_z
Ba1 0.000 0.000 0.000
Ba2 0.000 0.000 0.500
Ba3 0.500 0.500 0.000
Yb1 0.000 0.500 0.500
F1 0.006 0.632 0.191
F2 0.033 0.243 0.173
F3 0.458 0.666 0.551
```

# 3
The following is a DFT calculation (PBE) of a relaxed structure of Na3HfGe.

Values from the calculation:
**E**: -10.68 eV/f.u.
**E above lowest polymorph**: 2.83 eV per formula unit
**Formation energy from the elements**: 1569 meV per atom
**M_tot**: 1.98 Bohr magnetons per cell

Geometry as CIF:
```
data_Na3HfGe
_symmetry_space_group_name_H-M 'P m -3 m'
_symmetry_Int_Tables_number 221
_symmetry_space_group_name_Hall '-P 4 2 3'
_cell_length_a 5.889
_cell_length_b 5.889
_cell_length_c 5.889
_cell_angle_alpha 90.00
_cell_angle_beta 90.00
_cell_angle_gamma 90.00
loop_
_atom_site_label
_atom_site_fract_x
_atom_site_fract_y
_atom_site_fract_z
Na1 0.000 0.000 0.500
Hf1 0.000 0.000 0.000
Ge1 0.500 0.500 0.500
```

# 4
The following is a DFT calculation (PBE) of a relaxed structure of Ce4TlSi.

Values from the calculation:
**E**: -32.32 eV/f.u.
**Formation energy (no corrections)**: -131.8 meV per atom
**M_tot**: 3.82 Bohr magnetons per cell

Geometry as CIF:
```
data_Ce4TlSi
_symmetry_space_group_name_H-M 'I m m m'
_symmetry_Int_Tables_number 71
_symmetry_space_group_name_Hall '-I 2 2'
_cell_length_a 5.055
_cell_length_b 6.219
_cell_length_c 9.017
_cell_angle_alpha 90.00
_cell_angle_beta 90.00
_cell_angle_gamma 90.00
loop_
_atom_site_label
_atom_site_fract_x
_atom_site_fract_y
_atom_site_fract_z
Ce1 0.000 0.244 0.171
Tl1 0.000 0.000 0.500
Si1 0.000 0.500 0.500
```

# 5
The following is a DFT calculation (PBE) of a relaxed structure of MgZrP.

Values from the calculation:
**E**: -16.61 eV/f.u.
**E above lowest polymorph**: 0.47 eV per formula unit
**Formation energy from the elements**: -352 meV per atom
**M_tot**: 2.45 Bohr magnetons per cell

Geometry as CIF:
```
data_MgZrP
_symmetry_space_group_name_H-M 'F -4 3 m'
_symmetry_Int_Tables_number 216
_symmetry_space_group_name_Hall 'F -4 2 3'
_cell_length_a 6.169
_cell_length_b 6.169
_cell_length_c 6.169
_cell_angle_alpha 90.00
_cell_angle_beta 90.00
_cell_angle_gamma 90.00
loop_
_atom_site_label
_atom_site_fract_x
_atom_site_fract_y
_atom_site_fract_z
Mg1 0.000 0.000 0.000
Zr1 0.000 0.000 0.500
P1 0.250 0.250 0.750
```

# 6
The following is a DFT calculation (PBE) of a relaxed structure of Li2OsO.

Values from the calculation:
**E**: -19.22 eV/f.u.
**Formation energy (no corrections)**: 199.0 meV per atom
**M_tot**: 0.00 Bohr magnetons per cell

Geometry as CIF:
```
data_Li2OsO
_symmetry_space_group_name_H-M 'I -4 2 d'
_symmetry_Int_Tables_number 122
_symmetry_space_group_name_Hall 'I -4 2bw'
_cell_length_a 5.265
_cell_length_b 5.265
_cell_length_c 6.669
_cell_angle_alpha 90.00
_cell_angle_beta 90.00
_cell_angle_gamma 90.00
loop_
_atom_site_label
_atom_site_fract_x
_atom_site_fract_y
_atom_site_fract_z
Li1 0.119 0.250 0.125
Os1 0.000 0.000 0.500
O1 0.000 0.000 0.000
```

# 7
The following is a DFT calculation (PBE) of a relaxed structure of SmTm2Hg5.

Values from the calculation:
**E**: -18.58 eV/f.u.
**Formation energy from the elements**: -427 meV per atom
**M_tot**: 0.00 Bohr magnetons per cell

Geometry as CIF:
```
data_SmTm2Hg5
_symmetry_space_group_name_H-M 'I 4/m m m'
_symmetry_Int_Tables_number 139
_symmetry_space_group_name_Hall '-I 4 2'
_cell_length_a 5.201
_cell_length_b 5.201
_cell_length_c 14.581
_cell_angle_alpha 90.00
_cell_angle_beta 90.00
_cell_angle_gamma 90.00
loop_
_atom_site_label
_atom_site_fract_x
_atom_site_fract_y
_atom_site_fract_z
Sm1 0.000 0.000 0.000
Tm1 0.000 0.000 0.265
Hg1 0.000 0.000 0.500
Hg2 0.000 0.500 0.129
```

# 8
The following is a DFT calculation (PBE) of a relaxed structure of PAu2Br.

Values from the calculation:
**E**: -10.68 eV/f.u.
**E above lowest polymorph**: 2.62 eV per formula unit
**Formation energy (no corrections)**: 738.8 meV per atom
**M_tot**: 0.00 Bohr magnetons per cell

Geometry as CIF:
```
data_PAu2Br
_symmetry_space_group_name_H-M 'F -4 3 m'
_symmetry_Int_Tables_number 216
_symmetry_space_group_name_Hall 'F -4 2 3'
_cell_length_a 6.789
_cell_length_b 6.789
_cell_length_c 6.789
_cell_angle_alpha 90.00
_cell_angle_beta 90.00
_cell_angle_gamma 90.00
loop_
_atom_site_label
_atom_site_fract_x
_atom_site_fract_y
_atom_site_fract_z
P1 0.000 0.000 0.000
Au1 0.000 0.000 0.500
Au2 0.250 0.250 0.250
Br1 0.250 0.250 0.750
```